(1)
PBE-GGA Ba3HfZn2, relaxed; crystal system = tetragonal; M_tot = 0.078 μB/atom; space-group type = P4mm, No. 99
1.0
-1.0457 -1.6710 -3.2582
2.1761 -3.0088 0.8447
-10.8652 -6.0134 6.5712
Ba Hf Zn
3 1 2
Direct
0.0000 0.0000 0.3212
0.0000 0.0000 0.6251
0.5000 0.5000 0.8871
0.5000 0.5000 0.1304
0.5000 0.5000 0.4769
0.0000 0.0000 0.0592

=====

(2)
PBE-GGA AcUMo, relaxed; crystal system = cubic; DFT formation energy = 22.97 kcal/mol of atoms; offset from the most stable computed form = 0.0 meV per atom; M_tot = 0.824 μB/atom; space-group type = F-43m, No. 216
1.0
-4.9304 0.1037 0.3554
-2.4996 4.0104 -1.4544
-2.7772 -0.1654 -4.0873
Ac Mo U
1 1 1
Direct
0.2500 0.2500 0.2500
0.0000 0.0000 0.0000
0.7500 0.7500 0.7500

=====

(3)
PBE-GGA HoErGa2Br2, relaxed; crystal system = trigonal; M_tot = 0.000 μB/atom; space-group type = P3m1, No. 156
1.0
-2.6626 2.7006 1.5636
-1.1613 -3.8786 -0.6596
3.2889 -2.7426 10.3373
Ga Er Br Ho
2 1 2 1
Direct
0.6667 0.3333 0.4696
0.3333 0.6667 0.5313
0.0000 0.0000 0.6817
0.6667 0.3333 0.8379
0.3333 0.6667 0.1612
0.0000 0.0000 0.3183

=====

(4)
PBE-GGA LuTaFe2, relaxed; crystal system = cubic; DFT formation energy = 7.62 kcal/mol of atoms; M_tot = 0.833 μB/atom; space-group type = F-43m, No. 216
1.0
0.1455 -4.0897 -1.7532
-0.3361 -3.5676 2.6418
-3.6761 -2.5090 -0.1048
Lu Ta Fe
1 1 2
Direct
0.5000 0.5000 0.5000
0.7500 0.7500 0.7500
0.0000 0.0000 0.0000
0.2500 0.2500 0.2500

=====

(5)
PBE-GGA GaB4Au, relaxed; crystal system = hexagonal; offset from the most stable computed form = 0.0 meV per atom; space-group type = P6/mmm, No. 191
1.0
3.0799 0.0000 0.0000
-1.5399 2.6673 0.0000
0.0000 0.0000 7.2816
B Ga Au
4 1 1
Direct
0.6667 0.3333 0.2280
0.3333 0.6667 0.2280
0.3333 0.6667 0.7720
0.6667 0.3333 0.7720
0.0000 0.0000 0.0000
0.0000 0.0000 0.5000

=====

(6)
PBE-GGA NpCuAs, relaxed; crystal system = cubic; M_tot = 1.399 μB/atom; space-group type = F-43m, No. 216
1.0
0.0000 3.1150 3.1150
3.1150 0.0000 3.1150
3.1150 3.1150 0.0000
Cu Np As
1 1 1
Direct
0.0000 0.0000 0.0000
0.7500 0.7500 0.7500
0.2500 0.2500 0.2500

=====

(7)
PBE-GGA DyIr2Pt2, relaxed; crystal system = tetragonal; DFT formation energy = -7.56 kcal/mol of atoms; M_tot = 0.000 μB/atom; space-group type = P4/nmm, No. 129
1.0
-1.6232 1.1484 3.3350
-0.2433 -3.6989 1.1553
11.0797 0.8627 5.0954
Ir Dy Pt
4 2 4
Direct
0.5000 0.0000 0.3469
0.0000 0.0000 0.0000
0.0000 0.5000 0.6531
0.5000 0.5000 0.0000
0.5000 0.0000 0.7445
0.0000 0.5000 0.2555
0.5000 0.0000 0.1493
0.0000 0.5000 0.8507
0.0000 0.0000 0.5000
0.5000 0.5000 0.5000

=====

(8)
PBE-GGA LiAlGaNi, relaxed; crystal system = cubic; offset from the most stable computed form = 0.0 meV per atom; M_tot = 0.000 μB/atom; space-group type = F-43m, No. 216
1.0
0.0000 2.9326 2.9326
2.9326 0.0000 2.9326
2.9326 2.9326 0.0000
Ga Ni Al Li
1 1 1 1
Direct
0.0000 0.0000 0.0000
0.2500 0.2500 0.2500
0.5000 0.5000 0.5000
0.7500 0.7500 0.7500

=====

(9)
PBE-GGA NaZrNiB, relaxed; crystal system = cubic; offset from the most stable computed form = 0.0 meV per atom; M_tot = 0.002 μB/atom; space-group type = F-43m, No. 216
1.0
-3.5880 -2.1092 -1.3418
-3.8800 2.0153 0.0814
-1.9433 1.1541 -3.7436
B Ni Zr Na
1 1 1 1
Direct
0.0000 0.0000 0.0000
0.5000 0.5000 0.5000
0.2500 0.2500 0.2500
0.7500 0.7500 0.7500

=====

(10)
PBE-GGA ZnTcPd2, relaxed; crystal system = cubic; DFT formation energy = 1.93 kcal/mol of atoms; M_tot = 0.221 μB/atom; space-group type = F-43m, No. 216
1.0
0.0001 3.0994 3.0994
3.0994 0.0001 3.0994
3.0994 3.0994 0.0001
Pd Zn Tc
2 1 1
Direct
0.7500 0.7500 0.7500
0.0000 0.0000 0.0000
0.5000 0.5000 0.5000
0.2500 0.2500 0.2500

=====

Listing DFT total energy for the structures above in their given order: -17.53, -23.26, -25.68, -31.67, -30.07, -21.23, -36.06, -15.96, -20.38, -21.64 eV per formula unit.